Record 1
The following is a PBE calculation of OsWN3 after structural relaxation, from Alexandria via LeMat-Bulk.

CIF file:
```
data_OsWN3
_symmetry_space_group_name_H-M 'P m -3 m'
_symmetry_Int_Tables_number 221
_symmetry_space_group_name_Hall '-P 4 2 3'
_cell_length_a 3.902
_cell_length_b 3.902
_cell_length_c 3.902
_cell_angle_alpha 90.00
_cell_angle_beta 90.00
_cell_angle_gamma 90.00
loop_
_atom_site_label
_atom_site_fract_x
_atom_site_fract_y
_atom_site_fract_z
Os1 0.000 0.000 0.000
W1 0.500 0.500 0.500
N1 0.000 0.500 0.500
```

Calculated values
The calculation puts the volume at 11.88 Å³/atom. Its density of states at the Fermi level is 3.4 states/eV/f.u. As for the crystal system: cubic. The calculation puts the total magnetization at 0.0 μB per cell. The calculation puts the uncorrected formation energy at 1.43 eV/atom.

***

Record 2
The following is a PBE calculation of Tc4OsRu2 after structural relaxation, from Alexandria via LeMat-Bulk.

CIF file:
```
data_Tc4OsRu2
_symmetry_space_group_name_H-M 'C 1 m 1'
_symmetry_Int_Tables_number 8
_symmetry_space_group_name_Hall 'C -2y'
_cell_length_a 5.343
_cell_length_b 7.992
_cell_length_c 5.024
_cell_angle_alpha 90.00
_cell_angle_beta 103.07
_cell_angle_gamma 90.00
loop_
_atom_site_label
_atom_site_fract_x
_atom_site_fract_y
_atom_site_fract_z
Tc1 0.000 0.000 0.000
Tc2 0.010 0.500 0.909
Tc3 0.382 0.195 0.279
Os1 0.315 0.500 0.444
Ru1 0.201 0.231 0.729
```

Calculated values
The calculation puts the volume at 14.93 Å³/atom. Its density of states at the Fermi level is 5.7 states/eV/f.u. As for the crystal system: monoclinic. The calculation puts the total magnetization at 0.0 μB per cell. For the formation energy, the calculation gives 0.21 eV per atom.

***

Record 3
The following is a PBE calculation of Pa2ZnGa3Cu4 after structural relaxation, from Alexandria via LeMat-Bulk.

CIF file:
```
data_Pa2ZnGa3Cu4
_symmetry_space_group_name_H-M 'P -4 m 2'
_symmetry_Int_Tables_number 115
_symmetry_space_group_name_Hall 'P -4 -2'
_cell_length_a 4.139
_cell_length_b 4.139
_cell_length_c 9.924
_cell_angle_alpha 90.00
_cell_angle_beta 90.00
_cell_angle_gamma 90.00
loop_
_atom_site_label
_atom_site_fract_x
_atom_site_fract_y
_atom_site_fract_z
Pa1 0.000 0.500 0.244
Zn1 0.000 0.000 0.500
Ga1 0.000 0.500 0.869
Ga2 0.500 0.500 0.500
Cu1 0.000 0.000 0.000
Cu2 0.000 0.500 0.633
Cu3 0.500 0.500 0.000
```

Calculated values
The calculation puts the volume at 17.00 Å³/atom. Its density of states at the Fermi level is 8.5 states/eV/f.u. As for the crystal system: tetragonal. The calculation puts the total magnetization at 0.0 μB per cell. For the formation energy, the calculation gives -0.21 eV per atom.

***

Record 4
The following is a PBE calculation of PmNd2Y after structural relaxation, from Alexandria via LeMat-Bulk.

CIF file:
```
data_PmNd2Y
_symmetry_space_group_name_H-M 'P 4/m m m'
_symmetry_Int_Tables_number 123
_symmetry_space_group_name_Hall '-P 4 2'
_cell_length_a 5.160
_cell_length_b 5.160
_cell_length_c 5.148
_cell_angle_alpha 90.00
_cell_angle_beta 90.00
_cell_angle_gamma 90.00
loop_
_atom_site_label
_atom_site_fract_x
_atom_site_fract_y
_atom_site_fract_z
Pm1 0.000 0.000 0.000
Nd1 0.000 0.500 0.500
Y1 0.500 0.500 0.000
```

Calculated values
Its energy above the most stable polymorph in this dataset is 3 meV/atom. The calculation puts the volume at 34.27 Å³/atom. Its density of states at the Fermi level is 6.7 states/eV/f.u. As for the crystal system: tetragonal. The calculation puts the total magnetization at 0.0 μB per cell. For the formation energy, the calculation gives 0.01 eV per atom.

***

Record 5
The following is a PBE calculation of CdRh after structural relaxation, from Alexandria via LeMat-Bulk.

CIF file:
```
data_CdRh
_symmetry_space_group_name_H-M 'P 63/m m c'
_symmetry_Int_Tables_number 194
_symmetry_space_group_name_Hall '-P 6c 2c'
_cell_length_a 2.9313
_cell_length_b 2.9313
_cell_length_c 9.0432
_cell_angle_alpha 90.00
_cell_angle_beta 90.00
_cell_angle_gamma 120.00
loop_
_atom_site_label
_atom_site_fract_x
_atom_site_fract_y
_atom_site_fract_z
Cd1 0.0000 0.0000 0.0000
Rh1 0.3333 0.6667 0.2500
```

Calculated values
The calculation puts the volume at 16.82 Å³/atom. Its density of states at the Fermi level is 0.9 states/eV/f.u. As for the crystal system: hexagonal. The calculation puts the total magnetization at 0.0 μB per cell. For the formation energy, the calculation gives 0.00 eV per atom.

***

Record 6
The following is a PBE calculation of Pm5Ho3Cd after structural relaxation, from Alexandria via LeMat-Bulk.

CIF file:
```
data_Pm5Ho3Cd
_symmetry_space_group_name_H-M 'C 1 2/m 1'
_symmetry_Int_Tables_number 12
_symmetry_space_group_name_Hall '-C 2y'
_cell_length_a 14.677
_cell_length_b 11.690
_cell_length_c 9.207
_cell_angle_alpha 90.00
_cell_angle_beta 122.44
_cell_angle_gamma 90.00
loop_
_atom_site_label
_atom_site_fract_x
_atom_site_fract_y
_atom_site_fract_z
Pm1 0.000 0.242 0.000
Pm2 0.051 0.000 0.348
Pm3 0.167 0.266 0.691
Pm4 0.186 0.500 0.431
Ho1 0.000 0.500 0.000
Ho2 0.000 0.500 0.500
Ho3 0.145 0.000 0.090
Ho4 0.201 0.000 0.783
Cd1 0.131 0.500 0.857
```

Calculated values
The calculation puts the volume at 37.03 Å³/atom. Its density of states at the Fermi level is 12.8 states/eV/f.u. As for the crystal system: monoclinic. The calculation puts the total magnetization at 0.0 μB per cell. For the formation energy, the calculation gives 0.47 eV per atom.

***

Record 7
The following is a PBE calculation of SmHoSn after structural relaxation, from Alexandria via LeMat-Bulk.

CIF file:
```
data_SmHoSn
_symmetry_space_group_name_H-M 'P 4/n m m'
_symmetry_Int_Tables_number 129
_cell_length_a 4.302
_cell_length_b 4.302
_cell_length_c 10.029
_cell_angle_alpha 90.00
_cell_angle_beta 90.00
_cell_angle_gamma 90.00
loop_
_symmetry_equiv_pos_as_xyz
'x,y,z'
'-x,-y,-z'
'-y+1/2,x,z'
'y+1/2,-x,-z'
'-x+1/2,-y+1/2,z'
'x+1/2,y+1/2,-z'
'y,-x+1/2,z'
'-y,x+1/2,-z'
'x+1/2,-y,-z'
'-x+1/2,y,z'
'-y,-x,-z'
'y,x,z'
'-x,y+1/2,-z'
'x,-y+1/2,z'
'y+1/2,x+1/2,-z'
'-y+1/2,-x+1/2,z'
loop_
_atom_site_label
_atom_site_fract_x
_atom_site_fract_y
_atom_site_fract_z
Sm1 0.250 0.250 0.216
Ho1 0.250 0.250 0.596
Sn1 0.250 0.250 0.905
```

Calculated values
Its energy above the most stable polymorph in this dataset is 411 meV/atom. The calculation puts the volume at 30.93 Å³/atom. Its density of states at the Fermi level is 4.5 states/eV/f.u. As for the crystal system: tetragonal. The calculation puts the total magnetization at 0.0 μB per cell. For the formation energy, the calculation gives -0.19 eV per atom.

***

Record 8
The following is a PBE calculation of CaP2W2 after structural relaxation, from Alexandria via LeMat-Bulk.

CIF file:
```
data_CaP2W2
_symmetry_space_group_name_H-M 'I 4/m m m'
_symmetry_Int_Tables_number 139
_symmetry_space_group_name_Hall '-I 4 2'
_cell_length_a 4.586
_cell_length_b 4.586
_cell_length_c 8.868
_cell_angle_alpha 90.00
_cell_angle_beta 90.00
_cell_angle_gamma 90.00
loop_
_atom_site_label
_atom_site_fract_x
_atom_site_fract_y
_atom_site_fract_z
Ca1 0.000 0.000 0.000
P1 0.000 0.500 0.250
W1 0.000 0.000 0.367
```

Calculated values
Its energy above the most stable polymorph in this dataset is 225 meV/atom. The calculation puts the volume at 18.65 Å³/atom. Its density of states at the Fermi level is 3.4 states/eV/f.u. As for the crystal system: tetragonal. The calculation puts the total magnetization at 0.0 μB per cell. For the formation energy, the calculation gives -0.16 eV per atom.

***

Record 9
The following is a PBE calculation of SrLa3Ir after structural relaxation, from Alexandria via LeMat-Bulk.

CIF file:
```
data_SrLa3Ir
_symmetry_space_group_name_H-M 'C 1 2/m 1'
_symmetry_Int_Tables_number 12
_symmetry_space_group_name_Hall '-C 2y'
_cell_length_a 21.542
_cell_length_b 5.314
_cell_length_c 6.343
_cell_angle_alpha 90.00
_cell_angle_beta 100.96
_cell_angle_gamma 90.00
loop_
_atom_site_label
_atom_site_fract_x
_atom_site_fract_y
_atom_site_fract_z
Sr1 0.082 0.000 0.291
La1 0.060 0.500 0.801
La2 0.192 0.000 0.906
La3 0.200 0.500 0.544
Ir1 0.170 0.500 0.085
```

Calculated values
Its energy above the most stable polymorph in this dataset is 57 meV/atom. The calculation puts the volume at 35.64 Å³/atom. Its density of states at the Fermi level is 7.0 states/eV/f.u. As for the crystal system: monoclinic. The calculation puts the total magnetization at 0.0 μB per cell. For the formation energy, the calculation gives -0.27 eV per atom.

***

Record 10
The following is a PBE calculation of Tm2WSe after structural relaxation, from Alexandria via LeMat-Bulk.

CIF file:
```
data_Tm2WSe
_symmetry_space_group_name_H-M 'R -3 m'
_symmetry_Int_Tables_number 166
_symmetry_space_group_name_Hall '-R 3 2"'
_cell_length_a 3.3777
_cell_length_b 3.3777
_cell_length_c 28.4034
_cell_angle_alpha 90.00
_cell_angle_beta 90.00
_cell_angle_gamma 120.00
loop_
_atom_site_label
_atom_site_fract_x
_atom_site_fract_y
_atom_site_fract_z
Tm1 0.0000 0.0000 0.0975
W1 0.0000 0.0000 0.0000
Se1 0.0000 0.0000 0.5000
```

Calculated values
The calculation puts the volume at 23.39 Å³/atom. Its density of states at the Fermi level is 1.3 states/eV/f.u. As for the crystal system: trigonal. The calculation puts the total magnetization at 0.0 μB per cell. The calculation puts the uncorrected formation energy at 0.24 eV/atom.